# 1
A PBEsol-optimized structure of Y4MoW, computed with SCAN.

Geometry as POSCAR:
```
Y4MoW
1.0
5.7858 0.0000 0.0000
2.8929 5.0106 0.0000
2.8929 1.6702 4.7241
Mo W Y
1 1 4
Cartesian
8.6787 5.0106 3.5431 Mo
0.0000 0.0000 0.0000 W
4.3371 2.5040 1.7706 Y
5.7858 3.3404 4.1363 Y
7.2345 2.5040 1.7706 Y
5.7858 5.0132 1.7706 Y
```

crystal system	cubic
total magnetization	0.0	μB per formula unit
energy relative to the elements	1375	meV per atom
final energy	-207.70	eV/cell
Fermi-level density of states	9.19	states/eV/cell

=====

# 2
A PBEsol-optimized structure of Cr2ReBr, computed with SCAN.

Geometry as POSCAR:
```
Cr2ReBr
1.0
-0.4570 -2.4279 1.4700
-2.0297 -1.7070 -3.4505
4.9232 0.5259 -0.4117
Br Cr Re
1 2 1
Cartesian
-1.0148 -0.8535 -1.7252 Br
0.4836 -2.7909 -1.6482 Cr
1.9529 -0.8181 -0.7440 Cr
-0.2285 -1.2139 0.7350 Re
```

formation energy from raw total energies	1.10	eV/atom
crystal system	orthorhombic
total magnetization	0.0	μB per formula unit
final energy	-122.94	eV/cell
Fermi-level density of states	3.69	states/eV/cell

=====

# 3
A PBEsol-optimized structure of YSi2Br, computed with SCAN.

Geometry as POSCAR:
```
YSi2Br
1.0
3.9213 0.0000 0.0000
0.0000 3.9213 0.0000
-1.9607 -1.9607 5.1135
Br Si Y
1 2 1
Cartesian
0.0000 0.0000 0.0000 Br
1.9607 0.0000 2.5567 Si
0.0000 1.9607 2.5567 Si
1.9607 1.9607 0.0000 Y
```

formation energy from raw total energies	-0.18	eV/atom
crystal system	tetragonal
total magnetization	0.0	μB per formula unit
final energy	-68.05	eV/cell
Fermi-level density of states	2.65	states/eV/cell

=====

# 4
A PBEsol-optimized structure of TbAl3Cl12, computed with SCAN.

Geometry as POSCAR:
```
TbAl3Cl12
1.0
-8.2165 -2.7626 -6.0590
8.9735 -5.5836 -0.3925
-5.3530 -9.4150 11.5518
Al Cl Tb
9 36 3
Cartesian
-5.3259 -6.6681 -0.6674 Al
-2.0286 -3.0211 -3.4023 Al
-5.4579 -10.8346 3.1109 Al
-1.5532 -13.8597 4.6636 Al
-0.9905 -6.7515 3.4824 Al
5.2872 -5.6078 0.0883 Al
-2.6337 -10.8310 9.4490 Al
0.4075 -8.2370 -1.4981 Al
2.8850 -10.8176 4.7820 Al
-6.2944 -10.6411 7.6656 Cl
-4.2101 -10.6828 1.3622 Cl
-5.8478 -5.4259 -2.3475 Cl
-5.4300 -12.8125 3.9624 Cl
-2.1379 -3.3597 -1.2783 Cl
-7.0576 -7.5405 0.2698 Cl
-3.2364 -14.5117 5.9432 Cl
-0.8605 -7.4226 5.5867 Cl
4.9233 -7.6563 0.8411 Cl
-2.9835 -9.8453 7.4992 Cl
1.9221 -7.8358 -3.0603 Cl
3.6371 -8.8327 4.1571 Cl
-3.5314 -12.7753 8.8557 Cl
1.2793 -10.0202 6.0952 Cl
1.8696 -8.9214 0.0291 Cl
-2.0190 -11.6915 4.8074 Cl
4.5969 -6.0283 -1.9818 Cl
1.2069 -6.6677 3.1615 Cl
-4.8059 -9.6712 4.7907 Cl
-4.2108 -8.4329 -1.1596 Cl
-4.1134 -2.9785 -3.9042 Cl
-6.2464 -13.8928 7.0588 Cl
-4.2527 -5.2624 0.5461 Cl
-7.3485 -10.2247 2.3024 Cl
0.2615 -14.2841 5.6250 Cl
-1.8436 -8.2708 2.3153 Cl
3.9804 -4.2710 1.0386 Cl
-0.5715 -11.0427 9.7656 Cl
-0.4803 -6.4321 -0.9049 Cl
2.0556 -11.8037 3.1275 Cl
-1.7772 -14.5168 2.6869 Cl
-1.8169 -4.8327 3.3261 Cl
7.3268 -5.1293 0.0862 Cl
-3.7618 -9.9519 10.9800 Cl
-0.8669 -9.8111 -2.0343 Cl
4.2980 -11.8627 5.9223 Cl
-4.2200 -11.9963 6.3553 Tb
-6.3465 -10.1729 -0.3792 Tb
-4.9225 -3.0620 -1.1590 Tb
```

formation energy from raw total energies	-1.90	eV/atom
crystal system	trigonal
total magnetization	0.0	μB per formula unit
final energy	-588.49	eV/cell
Fermi-level density of states	0.00	states/eV/cell

=====

# 5
A PBEsol-optimized structure of Zn2Te, computed with SCAN.

Geometry as POSCAR:
```
Zn2Te
1.0
4.0281 0.0000 0.0000
0.0000 6.2518 0.0416
-2.0140 -3.0059 4.9837
Te Zn
2 4
Cartesian
0.0000 5.8843 0.6140 Te
0.0000 2.7264 2.3918 Te
2.0140 0.7862 2.5752 Zn
0.0000 1.0823 4.8712 Zn
2.0140 -0.7352 4.7337 Zn
0.0000 -0.9683 3.2194 Zn
```

formation energy from raw total energies	0.00	eV/atom
crystal system	monoclinic
total magnetization	0.0	μB per formula unit
final energy	-128.58	eV/cell
Fermi-level density of states	1.45	states/eV/cell

=====

# 6
A PBEsol-optimized structure of K2ZrW, computed with SCAN.

Geometry as POSCAR:
```
K2ZrW
1.0
-0.0364 2.9249 -0.2229
-2.3680 1.5067 0.8535
4.1559 2.4555 12.2366
K W Zr
2 1 1
Cartesian
0.5239 1.7387 3.4255 K
1.2276 5.1483 9.4417 K
0.8757 3.4435 6.4336 W
0.0000 0.0000 0.0000 Zr
```

crystal system	trigonal
total magnetization	0.0	μB per formula unit
energy relative to the elements	1355	meV per atom
final energy	-111.63	eV/cell
Fermi-level density of states	4.11	states/eV/cell

=====

# 7
A PBEsol-optimized structure of ZrSbSI2, computed with SCAN.

Geometry as POSCAR:
```
ZrSbSI2
1.0
5.4770 0.0000 0.0000
0.0000 5.0892 0.0000
0.0000 0.0000 5.0892
I Sb S Zr
2 1 1 1
Cartesian
0.0000 0.0000 2.5446 I
0.0000 2.5446 0.0000 I
2.7385 0.0000 0.0000 Sb
0.0000 0.0000 0.0000 S
2.7385 2.5446 2.5446 Zr
```

formation energy from raw total energies	0.69	eV/atom
crystal system	tetragonal
total magnetization	1.2	μB per formula unit
final energy	-147.60	eV/cell
Fermi-level density of states	4.35	states/eV/cell

=====

# 8
A PBEsol-optimized structure of MoIrPt2, computed with SCAN.

Geometry as POSCAR:
```
MoIrPt2
1.0
3.8880 0.0000 0.0000
0.0000 3.8880 0.0000
-1.9440 -1.9440 3.8822
Mo Ir Pt
1 1 2
Cartesian
1.9440 0.0000 1.9411 Mo
1.9440 1.9440 0.0000 Ir
0.0000 0.0000 0.0000 Pt
0.0000 1.9440 1.9411 Pt
```

crystal system	tetragonal
total magnetization	0.0	μB per formula unit
energy relative to the elements	-281	meV per atom
final energy	-247.49	eV/cell
Fermi-level density of states	3.21	states/eV/cell

=====

# 9
A PBEsol-optimized structure of Rb2Mg, computed with SCAN.

Geometry as POSCAR:
```
Rb2Mg
1.0
4.2687 0.0000 0.0000
0.0000 6.7115 0.0000
0.0000 0.0000 6.7115
Mg Rb
1 2
Cartesian
0.0000 0.0000 0.0000 Mg
2.1343 0.0000 3.3558 Rb
2.1343 3.3558 0.0000 Rb
```

crystal system	tetragonal
total magnetization	0.0	μB per formula unit
energy relative to the elements	252	meV per atom
final energy	-45.70	eV/cell
Fermi-level density of states	2.51	states/eV/cell

=====

# 10
A PBEsol-optimized structure of NiMo2Rh, computed with SCAN.

Geometry as POSCAR:
```
NiMo2Rh
1.0
-1.3885 -0.3251 2.8847
1.0159 -3.0499 0.1453
4.5144 1.6159 2.3551
Mo Ni Rh
2 1 1
Cartesian
3.5011 1.2532 1.8264 Mo
1.0133 0.3627 0.5286 Mo
-0.1863 -1.6875 1.5150 Ni
2.0709 -0.8795 2.6926 Rh
```

crystal system	tetragonal
total magnetization	0.0	μB per formula unit
energy relative to the elements	144	meV per atom
final energy	-119.14	eV/cell
Fermi-level density of states	3.31	states/eV/cell

=====

# 11
A PBEsol-optimized structure of KBe2Pt, computed with SCAN.

Geometry as POSCAR:
```
KBe2Pt
1.0
-1.6448 -1.8271 -3.6755
2.1534 -3.3200 -1.9733
-1.6635 -4.0953 0.1203
Be K Pt
2 1 1
Cartesian
-0.2887 -2.3106 -1.3821 Be
-0.8662 -6.9318 -4.1464 Be
0.0000 0.0000 0.0000 K
-0.5775 -4.6212 -2.7643 Pt
```

crystal system	cubic
total magnetization	0.0	μB per formula unit
energy relative to the elements	567	meV per atom
final energy	-84.96	eV/cell
Fermi-level density of states	2.20	states/eV/cell

=====

# 12
A PBEsol-optimized structure of SiHg2Pb, computed with SCAN.

Geometry as POSCAR:
```
SiHg2Pb
1.0
5.0625 0.0000 0.0000
2.5312 4.3842 0.0000
2.5312 1.4614 4.1335
Hg Pb Si
2 1 1
Cartesian
2.5312 1.4614 1.0334 Hg
7.5937 4.3842 3.1001 Hg
0.0000 0.0000 0.0000 Pb
5.0625 2.9228 2.0667 Si
```

formation energy from raw total energies	0.47	eV/atom
crystal system	cubic
total magnetization	0.0	μB per formula unit
final energy	-220.24	eV/cell
Fermi-level density of states	1.61	states/eV/cell

=====

# 13
A PBEsol-optimized structure of TcHgPb, computed with SCAN.

Geometry as POSCAR:
```
TcHgPb
1.0
4.6894 0.0000 0.0000
2.3447 4.0611 0.0000
2.3447 1.3537 3.8289
Hg Pb Tc
1 1 1
Cartesian
2.3447 1.3537 0.9572 Hg
0.0000 0.0000 0.0000 Pb
4.6894 2.7074 1.9144 Tc
```

crystal system	cubic
total magnetization	3.6	μB per formula unit
energy relative to the elements	1026	meV per atom
final energy	-175.93	eV/cell
Fermi-level density of states	2.28	states/eV/cell

=====

# 14
A PBEsol-optimized structure of AlTcNi2, computed with SCAN.

Geometry as POSCAR:
```
AlTcNi2
1.0
3.5981 0.0000 0.0000
0.0000 3.6062 0.0000
0.0000 0.0000 3.7090
Ni Tc Al
2 1 1
Cartesian
0.0000 0.0000 0.0000 Ni
1.7991 1.8031 0.0000 Ni
1.7991 0.0000 1.8545 Tc
0.0000 1.8031 1.8545 Al
```

crystal system	tetragonal
total magnetization	1.5	μB per formula unit
energy relative to the elements	-261	meV per atom
final energy	-76.20	eV/cell
Fermi-level density of states	2.42	states/eV/cell

=====

# 15
A PBEsol-optimized structure of KTa2Ag, computed with SCAN.

Geometry as POSCAR:
```
KTa2Ag
1.0
-0.4583 0.9279 2.4853
-2.7761 -4.4387 0.7777
6.4116 -0.9137 0.2492
Ag K Ta
1 1 2
Cartesian
-0.2292 0.4640 1.2427 Ag
-1.3881 -2.2193 0.3889 K
3.2058 -0.4568 0.1246 Ta
1.5886 -2.2122 1.7561 Ta
```

crystal system	monoclinic
total magnetization	0.0	μB per formula unit
energy relative to the elements	1016	meV per atom
final energy	-168.80	eV/cell
Fermi-level density of states	2.67	states/eV/cell

=====

# 16
A PBEsol-optimized structure of Y2In2Hg, computed with SCAN.

Geometry as POSCAR:
```
Y2In2Hg
1.0
4.6660 0.0000 0.0000
0.0000 7.3351 0.0000
0.0000 0.0000 7.3351
Y Hg In
4 2 4
Cartesian
2.3330 1.2325 4.9000 Y
2.3330 4.9000 6.1026 Y
2.3330 6.1026 2.4351 Y
2.3330 2.4351 1.2325 Y
0.0000 0.0000 0.0000 Hg
0.0000 3.6676 3.6676 Hg
0.0000 2.6668 6.3343 In
0.0000 6.3343 4.6684 In
0.0000 4.6684 1.0008 In
0.0000 1.0008 2.6668 In
```

crystal system	tetragonal
total magnetization	0.0	μB per formula unit
energy relative to the elements	-599	meV per atom
final energy	-387.23	eV/cell
Fermi-level density of states	4.06	states/eV/cell

=====

# 17
A PBEsol-optimized structure of MgCrCu, computed with SCAN.

Geometry as POSCAR:
```
MgCrCu
1.0
2.6432 0.0000 0.0000
-1.3216 2.2891 0.0000
0.0000 0.0000 6.6495
Cr Cu Mg
1 1 1
Cartesian
0.0000 0.0000 6.5524 Cr
0.0000 1.5261 4.5047 Cu
1.3216 0.7630 2.2418 Mg
```

crystal system	trigonal
total magnetization	1.2	μB per formula unit
energy relative to the elements	490	meV per atom
final energy	-37.09	eV/cell
Fermi-level density of states	2.01	states/eV/cell

=====

# 18
A PBEsol-optimized structure of AcLaCd2, computed with SCAN.

Geometry as POSCAR:
```
AcLaCd2
1.0
-2.6831 -3.2869 3.5811
2.3322 -1.2850 4.8721
-2.0549 2.1140 4.7049
Ac Cd La
1 2 1
Cartesian
0.0000 0.0000 0.0000 Ac
-0.6014 -0.6145 3.2895 Cd
-1.8043 -1.8434 9.8686 Cd
-1.2029 -1.2290 6.5790 La
```

crystal system	cubic
total magnetization	0.6	μB per formula unit
energy relative to the elements	-396	meV per atom
final energy	-195.99	eV/cell
Fermi-level density of states	3.79	states/eV/cell

=====

# 19
A PBEsol-optimized structure of YBeCu2, computed with SCAN.

Geometry as POSCAR:
```
YBeCu2
1.0
3.7122 0.0000 0.0000
0.0000 4.1168 0.0000
0.0000 0.0000 4.1168
Be Cu Y
1 2 1
Cartesian
1.8561 0.0000 0.0000 Be
0.0000 0.0000 2.0584 Cu
0.0000 2.0584 0.0000 Cu
1.8561 2.0584 2.0584 Y
```

crystal system	tetragonal
total magnetization	0.0	μB per formula unit
energy relative to the elements	231	meV per atom
final energy	-61.67	eV/cell
Fermi-level density of states	2.84	states/eV/cell

=====

# 20
A PBEsol-optimized structure of Y2InRu2, computed with SCAN.

Geometry as POSCAR:
```
Y2InRu2
1.0
4.1911 0.0000 0.0000
0.0000 6.9965 0.0000
0.0000 0.0000 6.9965
Y Ru In
4 4 2
Cartesian
2.0955 1.2395 4.7378 Y
2.0955 4.7378 5.7570 Y
2.0955 5.7570 2.2587 Y
2.0955 2.2587 1.2395 Y
0.0000 2.6225 6.1208 Ru
0.0000 6.1208 4.3740 Ru
0.0000 4.3740 0.8757 Ru
0.0000 0.8757 2.6225 Ru
0.0000 0.0000 0.0000 In
0.0000 3.4983 3.4983 In
```

crystal system	tetragonal
total magnetization	0.0	μB per formula unit
energy relative to the elements	-460	meV per atom
final energy	-322.05	eV/cell
Fermi-level density of states	6.95	states/eV/cell

=====

# 21
A PBEsol-optimized structure of KSr4Os, computed with SCAN.

Geometry as POSCAR:
```
KSr4Os
1.0
-0.6848 -6.6198 -1.6112
4.8877 -3.1715 -3.5970
3.9759 -4.6872 3.0180
K Os Sr
1 1 4
Cartesian
6.1341 -10.8589 -1.6427 K
0.0000 0.0000 0.0000 Os
3.0489 -5.3973 -0.8165 Sr
5.0722 -7.7825 0.7193 Sr
2.7004 -8.7660 -1.6364 Sr
5.5362 -7.0112 -2.6469 Sr
```

crystal system	cubic
total magnetization	1.1	μB per formula unit
energy relative to the elements	1303	meV per atom
final energy	-161.49	eV/cell
Fermi-level density of states	5.50	states/eV/cell

=====

# 22
A PBEsol-optimized structure of BeZn2Pt, computed with SCAN.

Geometry as POSCAR:
```
BeZn2Pt
1.0
2.8230 0.0000 0.0000
0.0000 3.5276 0.0000
0.0000 0.0000 5.1298
Be Zn Pt
1 2 1
Cartesian
1.4115 1.7638 0.0000 Be
0.0000 0.0000 3.9090 Zn
0.0000 0.0000 1.2208 Zn
1.4115 1.7638 2.5649 Pt
```

crystal system	orthorhombic
total magnetization	0.0	μB per formula unit
energy relative to the elements	-300	meV per atom
final energy	-102.78	eV/cell
Fermi-level density of states	1.00	states/eV/cell

=====

# 23
A PBEsol-optimized structure of CdCu3Se, computed with SCAN.

Geometry as POSCAR:
```
CdCu3Se
1.0
-1.2566 -4.4378 -0.7568
0.8957 0.5235 -4.5573
4.4118 -1.3703 0.7097
Cu Se Cd
3 1 1
Cartesian
0.4479 0.2618 -2.2787 Cu
2.2059 -0.6852 0.3549 Cu
-0.6283 -2.2189 -0.3784 Cu
2.0255 -2.6423 -2.3022 Se
0.0000 0.0000 0.0000 Cd
```

formation energy from raw total energies	1.05	eV/atom
crystal system	cubic
total magnetization	0.0	μB per formula unit
final energy	-90.83	eV/cell
Fermi-level density of states	2.42	states/eV/cell

=====

# 24
A PBEsol-optimized structure of TaNb2Ru, computed with SCAN.

Geometry as POSCAR:
```
TaNb2Ru
1.0
-2.5530 1.5993 3.3786
-4.1664 -1.6415 0.6612
-0.8644 -2.5944 3.6073
Ru Nb Ta
1 2 1
Cartesian
0.0000 0.0000 0.0000 Ru
-1.8960 -0.6591 1.9118 Nb
-5.6879 -1.9774 5.7353 Nb
-3.7919 -1.3183 3.8235 Ta
```

crystal system	cubic
total magnetization	0.0	μB per formula unit
energy relative to the elements	-211	meV per atom
final energy	-168.51	eV/cell
Fermi-level density of states	2.14	states/eV/cell

=====

# 25
A PBEsol-optimized structure of SiCl, computed with SCAN.

Geometry as POSCAR:
```
SiCl
1.0
3.0755 0.0000 0.0000
0.0000 3.6648 0.0000
0.0000 0.0000 7.5110
Si Cl
2 2
Cartesian
1.5378 0.0000 7.0734 Si
0.0000 1.8324 0.4376 Si
0.0000 0.0000 5.2772 Cl
1.5378 1.8324 2.2338 Cl
```

formation energy from raw total energies	-0.24	eV/atom
crystal system	orthorhombic
total magnetization	0.0	μB per formula unit
final energy	-36.96	eV/cell
Fermi-level density of states	0.80	states/eV/cell

=====

# 26
A PBEsol-optimized structure of NiPb, computed with SCAN.

Geometry as POSCAR:
```
NiPb
1.0
-0.5115 -0.0934 4.0498
-1.8160 -2.8001 -2.3522
4.0558 -3.0026 0.4430
Pb Ni
2 2
Cartesian
2.0955 -3.2476 2.2481 Pb
-0.3672 -2.6485 -0.1074 Pb
0.0000 0.0000 0.0000 Ni
2.0279 -1.5013 0.2215 Ni
```

crystal system	hexagonal
total magnetization	0.0	μB per formula unit
energy relative to the elements	99	meV per atom
final energy	-183.51	eV/cell
Fermi-level density of states	2.07	states/eV/cell

=====

# 27
A PBEsol-optimized structure of AsPdBr2, computed with SCAN.

Geometry as POSCAR:
```
AsPdBr2
1.0
-0.2437 -4.6966 0.4660
4.6694 -0.3078 -0.6606
-1.0124 3.2473 8.2350
As Br Pd
2 4 2
Cartesian
0.4784 -1.9757 4.3018 As
2.2129 -2.5022 -0.0973 As
3.7434 -1.1774 1.6513 Br
1.2826 -3.4544 2.2229 Br
-0.2472 1.8127 6.1577 Br
2.0479 -0.6950 6.0488 Br
2.9349 0.2187 3.7385 Pd
0.0000 0.0000 0.0000 Pd
```

formation energy from raw total energies	0.36	eV/atom
crystal system	tetragonal
total magnetization	0.0	μB per formula unit
final energy	-180.91	eV/cell
Fermi-level density of states	5.19	states/eV/cell